1.
Entry from Alexandria: a relaxed structure of Li7Pr3Si4 (PBE).

Geometry as POSCAR:
```
Li7Pr3Si4
1.0
8.271 -2.275 0.000
8.271 2.275 0.000
-4.169 0.000 7.252
Li Pr Si
7 3 4
Direct
0.000 0.000 0.000
0.143 0.143 0.951
0.332 0.332 0.489
0.484 0.484 0.796
0.516 0.516 0.204
0.668 0.668 0.511
0.857 0.857 0.049
0.000 0.000 0.500
0.270 0.270 0.777
0.730 0.730 0.223
0.133 0.133 0.322
0.362 0.362 0.216
0.638 0.638 0.784
0.867 0.867 0.678
```

As for the formation energy from raw total energies: -0.399 eV per atom. The volume is 273.0 Å³/f.u. The calculation puts the total magnetic moment at 0.000 μB per atom. For the density of states at the Fermi level, the calculation gives 0.233 states/eV/atom.

***

2.
Entry from Alexandria: a relaxed structure of Ho8IrRh2 (PBE).

Geometry as POSCAR:
```
Ho8IrRh2
1.0
4.107 -6.286 0.000
4.107 6.286 0.000
-2.028 0.000 5.619
Ho Ir Rh
8 1 2
Direct
0.000 0.000 0.000
0.022 0.279 0.574
0.145 0.566 0.180
0.279 0.022 0.574
0.440 0.698 0.771
0.566 0.145 0.180
0.698 0.440 0.771
0.713 0.713 0.359
0.355 0.355 0.349
0.051 0.673 0.679
0.673 0.051 0.679
```

The volume is 290.2 Å³/f.u. The calculation puts the formation energy at -0.474 eV/atom. The calculation puts the total magnetic moment at 0.000 μB per atom. For the density of states at the Fermi level, the calculation gives 0.918 states/eV/atom.

***

3.
Entry from Alexandria: a relaxed structure of Li2Ce2Pb3 (PBE).

Geometry as POSCAR:
```
Li2Ce2Pb3
1.0
2.224 -12.454 0.000
2.224 12.454 0.000
0.000 0.000 3.213
Li Ce Pb
2 2 3
Direct
0.219 0.781 0.000
0.781 0.219 0.000
0.083 0.917 0.000
0.917 0.083 0.000
0.331 0.669 0.500
0.500 0.500 0.500
0.669 0.331 0.500
```

The volume is 178.0 Å³/f.u. The calculation puts the formation energy at -0.338 eV/atom. The calculation puts the total magnetic moment at 0.346 μB per atom. For the density of states at the Fermi level, the calculation gives 1.920 states/eV/atom.